1.
DFT (GGA-PBEsol) results for a relaxed structure of Ba2Cd2Br.

a b c (Å): 6.5605 6.5605 6.5605
angles (deg): 120.55 120.55 89.05
Positions (direct):
Ba 0.2500 0.7500 0.5000
Ba 0.7500 0.2500 0.5000
Cd 0.1422 0.1422 0.0000
Cd 0.8578 0.8578 0.0000
Br 0.5000 0.5000 0.0000

Calculated values
For the total magnetic moment, the calculation gives 0.00 μB per atom. Its crystal system is tetragonal. Its calculated volume is 39.59 Å³/atom. As for the energy relative to the elements, uncorrected: -0.387 eV per atom.

---

2.
DFT (GGA-PBEsol) results for a relaxed structure of BaMgCd2Br.

a b c (Å): 5.3580 5.3580 5.5397
angles (deg): 90.00 90.00 90.00
Positions (direct):
Ba 0.0000 0.0000 0.0000
Mg 0.5000 0.5000 0.5000
Cd 0.0000 0.5000 0.5000
Cd 0.5000 0.0000 0.5000
Br 0.5000 0.5000 0.0000

Calculated values
For the total magnetic moment, the calculation gives 0.00 μB per atom. Its crystal system is tetragonal. Its calculated volume is 31.81 Å³/atom. As for the energy relative to the elements, uncorrected: -0.351 eV per atom.

---

3.
DFT (GGA-PBEsol) results for a relaxed structure of Ba2BrCl2.

a b c (Å): 8.3493 8.3493 8.3493
angles (deg): 145.70 145.70 49.29
Positions (direct):
Ba 0.1311 0.1311 0.0000
Ba 0.8689 0.8689 0.0000
Br 0.5000 0.5000 0.0000
Cl 0.2500 0.7500 0.5000
Cl 0.7500 0.2500 0.5000

Calculated values
For the total magnetic moment, the calculation gives 0.17 μB per atom. Its crystal system is tetragonal. Its calculated volume is 36.79 Å³/atom. As for the energy relative to the elements, uncorrected: -1.924 eV per atom.

---

4.
DFT (GGA-PBEsol) results for a relaxed structure of Ba2Cu3BrClO4.

a b c (Å): 8.1598 8.1598 8.1598
angles (deg): 140.67 140.67 56.83
Positions (direct):
Ba 0.1354 0.1354 0.0000
Ba 0.8646 0.8646 0.0000
Cu 0.9997 0.4997 0.5000
Cu 0.5003 0.0003 0.5000
Cu 0.5000 0.5000 0.0000
Br 0.7500 0.2500 0.5000
Cl 0.2500 0.7500 0.5000
O 0.2562 0.2562 0.5124
O 0.2562 0.7438 0.0000
O 0.7438 0.2562 0.0000
O 0.7438 0.7438 0.4876

Calculated values
For the total magnetic moment, the calculation gives 0.06 μB per atom. Its crystal system is tetragonal. Its calculated volume is 19.67 Å³/atom. As for the energy relative to the elements, uncorrected: -1.467 eV per atom.

---

5.
DFT (GGA-PBEsol) results for a relaxed structure of K2BaBrCl.

a b c (Å): 5.5836 5.5836 8.1078
angles (deg): 90.00 90.00 90.00
Positions (direct):
K 0.0000 0.5000 0.0000
K 0.5000 0.0000 0.0000
Ba 0.0000 0.0000 0.5000
Br 0.5000 0.5000 0.5000
Cl 0.5000 0.5000 0.0000

Calculated values
For the total magnetic moment, the calculation gives 0.00 μB per atom. Its crystal system is tetragonal. Its calculated volume is 50.55 Å³/atom. As for the energy relative to the elements, uncorrected: -0.998 eV per atom.

---

6.
DFT (GGA-PBEsol) results for a relaxed structure of Ba10BrN5Cl4.

a b c (Å): 38.1568 38.1568 38.1568
angles (deg): 6.14 6.14 6.14
Positions (direct):
Ba 0.0474 0.0474 0.0474
Ba 0.1538 0.1538 0.1538
Ba 0.2457 0.2457 0.2457
Ba 0.3549 0.3549 0.3549
Ba 0.4468 0.4468 0.4468
Ba 0.5532 0.5532 0.5532
Ba 0.6451 0.6451 0.6451
Ba 0.7543 0.7543 0.7543
Ba 0.8462 0.8462 0.8462
Ba 0.9526 0.9526 0.9526
Br 0.0000 0.0000 0.0000
N 0.1006 0.1006 0.1006
N 0.2988 0.2988 0.2988
N 0.5000 0.5000 0.5000
N 0.7012 0.7012 0.7012
N 0.8994 0.8994 0.8994
Cl 0.1997 0.1997 0.1997
Cl 0.4009 0.4009 0.4009
Cl 0.5991 0.5991 0.5991
Cl 0.8003 0.8003 0.8003

Calculated values
For the total magnetic moment, the calculation gives 0.00 μB per atom. Its crystal system is trigonal. Its calculated volume is 27.54 Å³/atom. As for the energy relative to the elements, uncorrected: -1.339 eV per atom.

---

7.
DFT (GGA-PBEsol) results for a relaxed structure of Ba10Br4N5Cl.

a b c (Å): 39.0357 39.0357 39.0357
angles (deg): 6.03 6.03 6.03
Positions (direct):
Ba 0.0448 0.0448 0.0448
Ba 0.1541 0.1541 0.1541
Ba 0.2465 0.2465 0.2465
Ba 0.3530 0.3530 0.3530
Ba 0.4453 0.4453 0.4453
Ba 0.5547 0.5547 0.5547
Ba 0.6470 0.6470 0.6470
Ba 0.7535 0.7535 0.7535
Ba 0.8459 0.8459 0.8459
Ba 0.9552 0.9552 0.9552
Br 0.2003 0.2003 0.2003
Br 0.3992 0.3992 0.3992
Br 0.6008 0.6008 0.6008
Br 0.7997 0.7997 0.7997
N 0.0994 0.0994 0.0994
N 0.3011 0.3011 0.3011
N 0.5000 0.5000 0.5000
N 0.6989 0.6989 0.6989
N 0.9006 0.9006 0.9006
Cl 0.0000 0.0000 0.0000

Calculated values
For the total magnetic moment, the calculation gives 0.00 μB per atom. Its crystal system is trigonal. Its calculated volume is 28.42 Å³/atom. As for the energy relative to the elements, uncorrected: -1.268 eV per atom.

---

8.
DFT (GGA-PBEsol) results for a relaxed structure of BaSeBr2Cl.

a b c (Å): 6.1473 6.1473 6.7243
angles (deg): 90.00 90.00 90.00
Positions (direct):
Ba 0.0000 0.0000 0.0000
Se 0.0000 0.0000 0.5000
Br 0.0000 0.5000 0.0000
Br 0.5000 0.0000 0.0000
Cl 0.5000 0.5000 0.5000

Calculated values
For the total magnetic moment, the calculation gives 0.61 μB per atom. Its crystal system is tetragonal. Its calculated volume is 50.82 Å³/atom. As for the energy relative to the elements, uncorrected: -0.351 eV per atom.

---

9.
DFT (GGA-PBEsol) results for a relaxed structure of BaCo2Br.

a b c (Å): 6.3817 6.3817 6.3817
angles (deg): 141.98 141.98 54.87
Positions (direct):
Ba 0.0000 0.0000 0.0000
Co 0.2500 0.7500 0.5000
Co 0.7500 0.2500 0.5000
Br 0.5000 0.5000 0.0000

Calculated values
For the total magnetic moment, the calculation gives 0.92 μB per atom. Its crystal system is tetragonal. Its calculated volume is 24.48 Å³/atom. As for the energy relative to the elements, uncorrected: 0.664 eV per atom.

---

10.
DFT (GGA-PBEsol) results for a relaxed structure of BaCo2Br.

a b c (Å): 3.5954 4.7259 5.3688
angles (deg): 90.00 90.00 90.00
Positions (direct):
Ba 0.0000 0.0000 0.0000
Co 0.0000 0.5000 0.5000
Co 0.5000 0.0000 0.5000
Br 0.5000 0.5000 0.0000

Calculated values
For the total magnetic moment, the calculation gives 0.86 μB per atom. Its crystal system is orthorhombic. Its calculated volume is 22.81 Å³/atom. As for the energy relative to the elements, uncorrected: 0.639 eV per atom.

---

11.
DFT (GGA-PBEsol) results for a relaxed structure of Ba2CoBr.

a b c (Å): 7.1601 7.1601 7.1601
angles (deg): 113.13 113.13 102.38
Positions (direct):
Ba 0.0735 0.6250 0.9485
Ba 0.3750 0.3235 0.4485
Ba 0.6765 0.1250 0.0515
Ba 0.8750 0.9265 0.5515
Co 0.0000 0.0000 0.0000
Co 0.7500 0.2500 0.5000
Br 0.2500 0.7500 0.5000
Br 0.5000 0.5000 0.0000

Calculated values
For the total magnetic moment, the calculation gives 0.03 μB per atom. Its crystal system is tetragonal. Its calculated volume is 34.92 Å³/atom. As for the energy relative to the elements, uncorrected: -0.266 eV per atom.

---

12.
DFT (GGA-PBEsol) results for a relaxed structure of Ba2CoBr.

a b c (Å): 8.7819 8.7819 8.7819
angles (deg): 154.18 153.97 36.99
Positions (direct):
Ba 0.0000 0.0000 0.0000
Ba 0.7167 0.2167 0.5000
Co 0.5888 0.5888 0.0000
Br 0.3317 0.8317 0.5000

Calculated values
For the total magnetic moment, the calculation gives 0.05 μB per atom. Its crystal system is orthorhombic. Its calculated volume is 32.31 Å³/atom. As for the energy relative to the elements, uncorrected: -0.361 eV per atom.

---

13.
DFT (GGA-PBEsol) results for a relaxed structure of Ba2CoBr.

a b c (Å): 4.3194 4.3194 8.6560
angles (deg): 104.68 104.68 60.45
Positions (direct):
Ba 0.2381 0.2381 0.2167
Ba 0.7619 0.7619 0.7833
Co 0.5000 0.5000 0.0000
Br 0.0000 0.0000 0.5000

Calculated values
For the total magnetic moment, the calculation gives 0.10 μB per atom. Its crystal system is monoclinic. Its calculated volume is 33.58 Å³/atom. As for the energy relative to the elements, uncorrected: -0.416 eV per atom.

---

14.
DFT (GGA-PBEsol) results for a relaxed structure of Ba2CoBr.

a b c (Å): 3.7556 3.7556 8.2405
angles (deg): 90.00 90.01 90.00
Positions (direct):
Ba 0.0017 0.0000 0.2178
Ba 0.9983 0.0000 0.7822
Co 0.5000 0.5000 0.0000
Br 0.5000 0.5000 0.5000

Calculated values
For the total magnetic moment, the calculation gives 0.04 μB per atom. Its crystal system is monoclinic. Its calculated volume is 29.06 Å³/atom. As for the energy relative to the elements, uncorrected: -0.433 eV per atom.

---

15.
DFT (GGA-PBEsol) results for a relaxed structure of BaCoBr.

a b c (Å): 5.5756 5.5756 5.5756
angles (deg): 133.91 133.91 67.24
Positions (direct):
Ba 0.0000 0.0000 0.0000
Co 0.3911 0.3911 0.0000
Br 0.6478 0.6478 0.0000

Calculated values
For the total magnetic moment, the calculation gives 0.66 μB per atom. Its crystal system is tetragonal. Its calculated volume is 29.50 Å³/atom. As for the energy relative to the elements, uncorrected: 0.037 eV per atom.

---

16.
DFT (GGA-PBEsol) results for a relaxed structure of BaCoOsBr2.

a b c (Å): 4.8917 4.8917 6.2843
angles (deg): 90.00 90.00 90.00
Positions (direct):
Ba 0.0000 0.0000 0.0000
Co 0.5000 0.5000 0.0000
Os 0.0000 0.0000 0.5000
Br 0.0000 0.5000 0.5000
Br 0.5000 0.0000 0.5000

Calculated values
For the total magnetic moment, the calculation gives 0.68 μB per atom. Its crystal system is tetragonal. Its calculated volume is 30.08 Å³/atom. As for the energy relative to the elements, uncorrected: 0.969 eV per atom.

---

17.
DFT (GGA-PBEsol) results for a relaxed structure of BaCoPtBr2.

a b c (Å): 6.0109 6.0109 5.4181
angles (deg): 90.00 90.00 90.00
Positions (direct):
Ba 0.0000 0.0000 0.0000
Co 0.5000 0.5000 0.5000
Pt 0.0000 0.0000 0.5000
Br 0.0000 0.5000 0.0000
Br 0.5000 0.0000 0.0000

Calculated values
For the total magnetic moment, the calculation gives 0.48 μB per atom. Its crystal system is tetragonal. Its calculated volume is 39.15 Å³/atom. As for the energy relative to the elements, uncorrected: 0.863 eV per atom.

---

18.
DFT (GGA-PBEsol) results for a relaxed structure of Ba3CrBr.

a b c (Å): 6.1052 6.1052 6.1052
angles (deg): 90.00 90.00 90.00
Positions (direct):
Ba 0.0000 0.0000 0.5000
Ba 0.0000 0.5000 0.0000
Ba 0.5000 0.0000 0.0000
Cr 0.0000 0.0000 0.0000
Br 0.5000 0.5000 0.5000

Calculated values
For the total magnetic moment, the calculation gives 0.61 μB per atom. Its crystal system is cubic. Its calculated volume is 45.51 Å³/atom. As for the energy relative to the elements, uncorrected: 0.181 eV per atom.

---

19.
DFT (GGA-PBEsol) results for a relaxed structure of Cs2BaBr4.

a b c (Å): 8.8287 8.8287 8.8287
angles (deg): 110.22 110.22 107.97
Positions (direct):
Cs 0.3750 0.0141 0.1391
Cs 0.7641 0.6250 0.6391
Cs 0.8750 0.2359 0.8609
Cs 0.9859 0.1250 0.3609
Ba 0.2500 0.7500 0.5000
Ba 0.5000 0.5000 0.0000
Br 0.1452 0.0321 0.7455
Br 0.1497 0.5366 0.7545
Br 0.2866 0.3997 0.2545
Br 0.4634 0.2179 0.6131
Br 0.6003 0.8548 0.8869
Br 0.6048 0.8503 0.3869
Br 0.7821 0.3952 0.2455
Br 0.9679 0.7134 0.1131

Calculated values
For the total magnetic moment, the calculation gives 0.00 μB per atom. Its crystal system is tetragonal. Its calculated volume is 37.82 Å³/atom. As for the energy relative to the elements, uncorrected: -1.945 eV per atom.

---

20.
DFT (GGA-PBEsol) results for a relaxed structure of CsBa2Br5.

a b c (Å): 9.9225 8.6079 13.7152
angles (deg): 90.00 90.16 90.00
Positions (direct):
Cs 0.0110 0.0569 0.3335
Cs 0.0110 0.4431 0.8335
Cs 0.9890 0.5569 0.1665
Cs 0.9890 0.9431 0.6665
Ba 0.2520 0.5719 0.4918
Ba 0.2520 0.9281 0.9918
Ba 0.4997 0.0295 0.3231
Ba 0.4997 0.4705 0.8231
Ba 0.5003 0.5295 0.1769
Ba 0.5003 0.9705 0.6769
Ba 0.7480 0.0719 0.0082
Ba 0.7480 0.4281 0.5082
Br 0.0394 0.1770 0.0793
Br 0.0394 0.3230 0.5793
Br 0.2731 0.6921 0.7199
Br 0.2731 0.8079 0.2199
Br 0.2840 0.5461 0.9979
Br 0.2840 0.9539 0.4979
Br 0.2875 0.1656 0.8124
Br 0.2875 0.3344 0.3124
Br 0.4594 0.1647 0.0982
Br 0.4594 0.3353 0.5982
Br 0.5406 0.6647 0.4018
Br 0.5406 0.8353 0.9018
Br 0.7125 0.6656 0.6876
Br 0.7125 0.8344 0.1876
Br 0.7160 0.0461 0.5021
Br 0.7160 0.4539 0.0021
Br 0.7269 0.1921 0.7801
Br 0.7269 0.3079 0.2801
Br 0.9606 0.6770 0.4207
Br 0.9606 0.8230 0.9207

Calculated values
For the total magnetic moment, the calculation gives 0.00 μB per atom. Its crystal system is monoclinic. Its calculated volume is 36.61 Å³/atom. As for the energy relative to the elements, uncorrected: -2.112 eV per atom.

---

21.
DFT (GGA-PBEsol) results for a relaxed structure of Cs2BaTa6Br15O3.

a b c (Å): 9.7327 9.7327 18.0739
angles (deg): 90.15 90.15 120.20
Positions (direct):
Cs 0.1599 0.8311 0.5397
Cs 0.1689 0.8401 0.9603
Cs 0.8311 0.1599 0.0397
Cs 0.8401 0.1689 0.4603
Ba 0.1668 0.8332 0.2500
Ba 0.8332 0.1668 0.7500
Ta 0.3090 0.4853 0.8182
Ta 0.3234 0.3362 0.6875
Ta 0.3298 0.5157 0.3146
Ta 0.3362 0.3234 0.1875
Ta 0.4843 0.6702 0.1854
Ta 0.4853 0.3090 0.3182
Ta 0.5147 0.6910 0.6818
Ta 0.5157 0.3298 0.8146
Ta 0.6638 0.6766 0.8125
Ta 0.6702 0.4843 0.6854
Ta 0.6766 0.6638 0.3125
Ta 0.6910 0.5147 0.1818
Br 0.0493 0.4426 0.8900
Br 0.0569 0.1121 0.6147
Br 0.0819 0.2885 0.2506
Br 0.1102 0.5601 0.3875
Br 0.1121 0.0569 0.1147
Br 0.2809 0.2950 0.4137
Br 0.2809 0.4833 0.0875
Br 0.2885 0.0819 0.7506
Br 0.2890 0.7110 0.7500
Br 0.2930 0.5126 0.5875
Br 0.2950 0.2809 0.9137
Br 0.4399 0.8898 0.1125
Br 0.4426 0.0493 0.3900
Br 0.4833 0.2809 0.5875
Br 0.4874 0.7070 0.9125
Br 0.5126 0.2930 0.0875
Br 0.5167 0.7191 0.4125
Br 0.5574 0.9507 0.6100
Br 0.5601 0.1102 0.8875
Br 0.7050 0.7191 0.0863
Br 0.7070 0.4874 0.4125
Br 0.7110 0.2890 0.2500
Br 0.7115 0.9181 0.2494
Br 0.7191 0.5167 0.9125
Br 0.7191 0.7050 0.5863
Br 0.8879 0.9431 0.8853
Br 0.8898 0.4399 0.6125
Br 0.9181 0.7115 0.7494
Br 0.9431 0.8879 0.3853
Br 0.9507 0.5574 0.1100
O 0.1569 0.3330 0.7505
O 0.3262 0.6738 0.2500
O 0.3330 0.1569 0.2505
O 0.6670 0.8431 0.7495
O 0.6738 0.3262 0.7500
O 0.8431 0.6670 0.2495

Calculated values
For the total magnetic moment, the calculation gives 0.03 μB per atom. Its crystal system is monoclinic. Its calculated volume is 27.40 Å³/atom. As for the energy relative to the elements, uncorrected: -1.478 eV per atom.

---

22.
DFT (GGA-PBEsol) results for a relaxed structure of BaCu2Br.

a b c (Å): 5.1592 5.1592 5.1592
angles (deg): 60.00 60.00 60.00
Positions (direct):
Ba 0.0000 0.0000 0.0000
Cu 0.5000 0.5000 0.5000
Cu 0.7500 0.7500 0.7500
Br 0.2500 0.2500 0.2500

Calculated values
For the total magnetic moment, the calculation gives 0.00 μB per atom. Its crystal system is cubic. Its calculated volume is 24.28 Å³/atom. As for the energy relative to the elements, uncorrected: -0.030 eV per atom.